No. 1
K2MgCdSn, optimized geometry, DFT PBE; density of states at the Fermi level = 0.1423 states/eV per atom; ΔH_f (0 K) = 89 meV/atom
1.0
6.8930 0.0000 0.0000
0.0000 6.8930 0.0000
0.0000 0.0000 5.3174
K Mg Cd Sn
2 1 1 1
direct
0.0000 0.5000 0.0000 K
0.5000 0.0000 0.0000 K
0.0000 0.0000 0.5000 Mg
0.5000 0.5000 0.5000 Cd
0.0000 0.0000 0.0000 Sn

No. 2
AcPmSeI, optimized geometry, DFT PBE; density of states at the Fermi level = 0.8770 states/eV per atom; uncorrected formation energy = -111.5 kJ per mole of atoms
1.0
0.0000 3.8704 3.8704
3.8704 0.0000 3.8704
3.8704 3.8704 0.0000
Ac Pm Se I
1 1 1 1
direct
0.0000 0.0000 0.0000 Ac
0.5000 0.5000 0.5000 Pm
0.7500 0.7500 0.7500 Se
0.2500 0.2500 0.2500 I

No. 3
ZnCo4, optimized geometry, DFT PBE; density of states at the Fermi level = 0.8803 states/eV per atom; relative energy among the computed polymorphs = 0.290 eV per atom; ΔH_f (0 K) = 322 meV/atom
1.0
-1.7224 1.7224 5.3958
1.7224 -1.7224 5.3958
1.7224 1.7224 -5.3958
Zn Co
1 4
direct
0.0000 0.0000 0.0000 Zn
0.2500 0.7500 0.5000 Co
0.3962 0.3962 0.0000 Co
0.6038 0.6038 0.0000 Co
0.7500 0.2500 0.5000 Co

No. 4
Sm2Er5TmTh, optimized geometry, DFT PBE; density of states at the Fermi level = 1.1685 states/eV per atom; ΔH_f (0 K) = 305 meV/atom
1.0
-4.3427 4.3427 7.5677
4.3427 -4.3427 7.5677
4.3427 4.3427 -7.5677
Sm Er Tm Th
4 10 2 2
direct
0.1153 0.6153 0.7305 Sm
0.3847 0.1153 0.5000 Sm
0.6153 0.8847 0.5000 Sm
0.8847 0.3847 0.2695 Sm
0.0000 0.0000 0.0000 Er
0.0735 0.1497 0.5000 Er
0.1497 0.6497 0.0762 Er
0.3503 0.4265 0.5000 Er
0.4265 0.9265 0.0762 Er
0.5000 0.5000 0.0000 Er
0.5735 0.0735 0.9238 Er
0.6497 0.5735 0.5000 Er
0.8503 0.3503 0.9238 Er
0.9265 0.8503 0.5000 Er
0.2500 0.7500 0.5000 Tm
0.7500 0.2500 0.5000 Tm
0.2500 0.2500 0.0000 Th
0.7500 0.7500 0.0000 Th

No. 5
BaCaPb, optimized geometry, DFT PBE; density of states at the Fermi level = 0.8255 states/eV per atom; ΔH_f (0 K) = -358 meV/atom
1.0
-1.9489 2.3471 6.5530
1.9489 -2.3471 6.5530
1.9489 2.3471 -6.5530
Ba Ca Pb
1 1 1
direct
0.0000 0.0000 0.0000 Ba
0.7283 0.7283 0.0000 Ca
0.3326 0.3326 0.0000 Pb

No. 6
Tm12As3H5, optimized geometry, DFT PBE; electronic total energy = -4.723 eV per atom; density of states at the Fermi level = 0.6918 states/eV per atom
1.0
-7.4520 7.4520 7.4520
7.4520 -7.4520 7.4520
7.4520 7.4520 -7.4520
Tm As H
48 12 20
direct
0.0195 0.2113 0.1148 Tm
0.0195 0.3082 0.9047 Tm
0.0953 0.6148 0.4035 Tm
0.0953 0.9805 0.6918 Tm
0.0965 0.7113 0.6918 Tm
0.0965 0.8852 0.4047 Tm
0.1148 0.0195 0.2113 Tm
0.1148 0.5953 0.9035 Tm
0.1918 0.2113 0.5965 Tm
0.1918 0.4805 0.5953 Tm
0.2113 0.1148 0.0195 Tm
0.2113 0.5965 0.1918 Tm
0.2887 0.3082 0.9035 Tm
0.2887 0.4805 0.3852 Tm
0.3082 0.9035 0.2887 Tm
0.3082 0.9047 0.0195 Tm
0.3852 0.2887 0.4805 Tm
0.3852 0.5965 0.9047 Tm
0.4035 0.0953 0.6148 Tm
0.4035 0.8082 0.7887 Tm
0.4047 0.0965 0.8852 Tm
0.4047 0.8082 0.5195 Tm
0.4805 0.3852 0.2887 Tm
0.4805 0.5953 0.1918 Tm
0.5195 0.4047 0.8082 Tm
0.5195 0.6148 0.7113 Tm
0.5953 0.1918 0.4805 Tm
0.5953 0.9035 0.1148 Tm
0.5965 0.1918 0.2113 Tm
0.5965 0.9047 0.3852 Tm
0.6148 0.4035 0.0953 Tm
0.6148 0.7113 0.5195 Tm
0.6918 0.0953 0.9805 Tm
0.6918 0.0965 0.7113 Tm
0.7113 0.5195 0.6148 Tm
0.7113 0.6918 0.0965 Tm
0.7887 0.4035 0.8082 Tm
0.7887 0.8852 0.9805 Tm
0.8082 0.5195 0.4047 Tm
0.8082 0.7887 0.4035 Tm
0.8852 0.4047 0.0965 Tm
0.8852 0.9805 0.7887 Tm
0.9035 0.1148 0.5953 Tm
0.9035 0.2887 0.3082 Tm
0.9047 0.0195 0.3082 Tm
0.9047 0.3852 0.5965 Tm
0.9805 0.6918 0.0953 Tm
0.9805 0.7887 0.8852 Tm
0.1250 0.2500 0.3750 As
0.1250 0.3750 0.7500 As
0.2500 0.3750 0.1250 As
0.2500 0.8750 0.6250 As
0.3750 0.1250 0.2500 As
0.3750 0.7500 0.1250 As
0.6250 0.2500 0.8750 As
0.6250 0.8750 0.7500 As
0.7500 0.1250 0.3750 As
0.7500 0.6250 0.8750 As
0.8750 0.6250 0.2500 As
0.8750 0.7500 0.6250 As
0.0000 0.0000 0.0000 H
0.0000 0.0000 0.5000 H
0.0000 0.5000 0.0000 H
0.0000 0.5000 0.5000 H
0.1250 0.7500 0.8750 H
0.1250 0.8750 0.2500 H
0.2500 0.1250 0.8750 H
0.2500 0.6250 0.3750 H
0.3750 0.2500 0.6250 H
0.3750 0.6250 0.7500 H
0.5000 0.0000 0.0000 H
0.5000 0.0000 0.5000 H
0.5000 0.5000 0.0000 H
0.5000 0.5000 0.5000 H
0.6250 0.3750 0.2500 H
0.6250 0.7500 0.3750 H
0.7500 0.3750 0.6250 H
0.7500 0.8750 0.1250 H
0.8750 0.1250 0.7500 H
0.8750 0.2500 0.1250 H

No. 7
Sm2TiTlO6, optimized geometry, DFT PBE; density of states at the Fermi level = 0.2602 states/eV per atom; uncorrected formation energy = -245.8 kJ per mole of atoms
1.0
5.4468 0.0000 0.0000
0.0000 5.4468 0.0000
0.0000 0.0000 5.4166
Sm Ti Tl O
2 1 1 6
direct
0.0000 0.5000 0.0000 Sm
0.5000 0.0000 0.0000 Sm
0.0000 0.0000 0.6272 Ti
0.5000 0.5000 0.5443 Tl
0.0000 0.0000 0.2900 O
0.2311 0.2311 0.7687 O
0.2311 0.7689 0.7687 O
0.5000 0.5000 0.1312 O
0.7689 0.2311 0.7687 O
0.7689 0.7689 0.7687 O

No. 8
Zr2Al5Fe5, optimized geometry, DFT PBE; density of states at the Fermi level = 0.9239 states/eV per atom; ΔH_f (0 K) = -287 meV/atom
1.0
4.0291 0.0000 0.0000
0.0000 4.9996 0.0000
0.0000 0.0000 8.8120
Zr Al Fe
2 5 5
direct
0.0000 0.0000 0.0000 Zr
0.0000 0.5000 0.5000 Zr
0.0000 0.0000 0.3192 Al
0.0000 0.0000 0.6808 Al
0.0000 0.5000 0.1692 Al
0.0000 0.5000 0.8308 Al
0.5000 0.0000 0.5000 Al
0.5000 0.2511 0.2446 Fe
0.5000 0.2511 0.7554 Fe
0.5000 0.5000 0.0000 Fe
0.5000 0.7489 0.2446 Fe
0.5000 0.7489 0.7554 Fe

No. 9
Er8P3Se4N, optimized geometry, DFT PBE; density of states at the Fermi level = 0.3063 states/eV per atom; uncorrected formation energy = -164.8 kJ per mole of atoms
1.0
3.9048 2.2544 6.5821
-3.9048 2.2544 6.5821
0.0000 -4.5089 6.5821
Er P Se N
8 3 4 1
direct
0.2426 0.2426 0.2426 Er
0.2583 0.7283 0.7283 Er
0.2717 0.2717 0.7417 Er
0.2717 0.7417 0.2717 Er
0.7283 0.2583 0.7283 Er
0.7283 0.7283 0.2583 Er
0.7417 0.2717 0.2717 Er
0.7574 0.7574 0.7574 Er
0.0000 0.0000 0.5000 P
0.0000 0.5000 0.0000 P
0.5000 0.0000 0.0000 P
0.0000 0.0000 0.0000 Se
0.0000 0.5000 0.5000 Se
0.5000 0.0000 0.5000 Se
0.5000 0.5000 0.0000 Se
0.5000 0.5000 0.5000 N

No. 10
ReSb2Pt, optimized geometry, DFT PBE; density of states at the Fermi level = 0.5699 states/eV per atom; relative energy among the computed polymorphs = 0.077 eV per atom; uncorrected formation energy = 22.0 kJ per mole of atoms
1.0
3.4502 0.0000 0.0000
0.0000 4.0601 0.0000
0.0000 0.0000 5.5200
Re Sb Pt
1 2 1
direct
0.0000 0.0000 0.0000 Re
0.0000 0.0000 0.5105 Sb
0.5000 0.5000 0.1450 Sb
0.5000 0.5000 0.6521 Pt

No. 11
BIO3, optimized geometry, DFT PBE; density of states at the Fermi level = 0.2637 states/eV per atom; uncorrected formation energy = 6.6 kJ per mole of atoms
1.0
3.5440 0.0000 0.0000
0.0000 3.5440 0.0000
0.0000 0.0000 3.5440
B I O
1 1 3
direct
0.0000 0.0000 0.0000 B
0.5000 0.5000 0.5000 I
0.0000 0.0000 0.5000 O
0.0000 0.5000 0.0000 O
0.5000 0.0000 0.0000 O

No. 12
TbAlGa, optimized geometry, DFT PBE; density of states at the Fermi level = 0.6491 states/eV per atom; ΔH_f (0 K) = -327 meV/atom
1.0
-1.6810 1.6810 5.5955
1.6810 -1.6810 5.5955
1.6810 1.6810 -5.5955
Tb Al Ga
1 1 1
direct
0.0000 0.0000 0.0000 Tb
0.6897 0.6897 0.0000 Al
0.3148 0.3148 0.0000 Ga

No. 13
SrTePt2, optimized geometry, DFT PBE; density of states at the Fermi level = 0.7069 states/eV per atom; relative energy among the computed polymorphs = 0.512 eV per atom; uncorrected formation energy = -18.5 kJ per mole of atoms
1.0
0.0000 3.5381 3.5381
3.5381 0.0000 3.5381
3.5381 3.5381 0.0000
Sr Te Pt
1 1 2
direct
0.0000 0.0000 0.0000 Sr
0.7500 0.7500 0.7500 Te
0.2500 0.2500 0.2500 Pt
0.5000 0.5000 0.5000 Pt

No. 14
Fe2Tc2Pt, optimized geometry, DFT PBE; density of states at the Fermi level = 1.1603 states/eV per atom; ΔH_f (0 K) = 45 meV/atom
1.0
7.0048 0.0000 0.0000
0.0000 7.0048 0.0000
0.0000 0.0000 2.6958
Fe Tc Pt
4 4 2
direct
0.1231 0.3769 0.0000 Fe
0.3769 0.8769 0.0000 Fe
0.6231 0.1231 0.0000 Fe
0.8769 0.6231 0.0000 Fe
0.1703 0.6703 0.5000 Tc
0.3297 0.1703 0.5000 Tc
0.6703 0.8297 0.5000 Tc
0.8297 0.3297 0.5000 Tc
0.0000 0.0000 0.0000 Pt
0.5000 0.5000 0.0000 Pt

No. 15
Cs2KPbF, optimized geometry, DFT PBE; density of states at the Fermi level = 0.4635 states/eV per atom; relative energy among the computed polymorphs = 0.000 eV per atom; uncorrected formation energy = -97.9 kJ per mole of atoms
1.0
5.8049 0.0000 0.0000
0.0000 5.8049 0.0000
0.0000 0.0000 5.6725
Cs K Pb F
2 1 1 1
direct
0.0000 0.5000 0.0000 Cs
0.5000 0.0000 0.0000 Cs
0.0000 0.0000 0.5000 K
0.5000 0.5000 0.5000 Pb
0.0000 0.0000 0.0000 F

No. 16
Cd8Tc, optimized geometry, DFT PBE; density of states at the Fermi level = 0.5181 states/eV per atom; ΔH_f (0 K) = 202 meV/atom
1.0
-5.5941 5.5941 1.5114
5.5941 -5.5941 1.5114
5.5941 5.5941 -1.5114
Cd Tc
8 1
direct
0.0000 0.3335 0.3335 Cd
0.0000 0.6665 0.6665 Cd
0.3335 0.0000 0.3335 Cd
0.3422 0.3422 0.6843 Cd
0.3422 0.6578 0.0000 Cd
0.6578 0.3422 0.0000 Cd
0.6578 0.6578 0.3157 Cd
0.6665 0.0000 0.6665 Cd
0.0000 0.0000 0.0000 Tc

No. 17
PrScTl6, optimized geometry, DFT PBE; density of states at the Fermi level = 0.3958 states/eV per atom; ΔH_f (0 K) = -209 meV/atom
1.0
4.7767 0.0000 0.0000
0.0000 4.7767 0.0000
0.0000 0.0000 9.5088
Pr Sc Tl
1 1 6
direct
0.0000 0.0000 0.0000 Pr
0.0000 0.0000 0.5000 Sc
0.0000 0.5000 0.2604 Tl
0.0000 0.5000 0.7396 Tl
0.5000 0.0000 0.2604 Tl
0.5000 0.0000 0.7396 Tl
0.5000 0.5000 0.0000 Tl
0.5000 0.5000 0.5000 Tl

No. 18
TaCr2Sb, optimized geometry, DFT PBE; density of states at the Fermi level = 1.1184 states/eV per atom; relative energy among the computed polymorphs = 0.227 eV per atom; uncorrected formation energy = 32.7 kJ per mole of atoms
1.0
3.4277 0.0000 0.0000
0.0000 3.4277 0.0000
0.0000 0.0000 5.5655
Ta Cr Sb
1 2 1
direct
0.0000 0.0000 0.0000 Ta
0.0000 0.0000 0.4749 Cr
0.5000 0.5000 0.2174 Cr
0.5000 0.5000 0.7046 Sb

No. 19
Mg2ZnFeC, optimized geometry, DFT PBE; density of states at the Fermi level = 0.7009 states/eV per atom; ΔH_f (0 K) = 147 meV/atom
1.0
4.4258 0.0000 0.0000
0.0000 4.4258 0.0000
0.0000 0.0000 3.6654
Mg Zn Fe C
2 1 1 1
direct
0.0000 0.5000 0.0000 Mg
0.5000 0.0000 0.0000 Mg
0.0000 0.0000 0.5000 Zn
0.5000 0.5000 0.5000 Fe
0.5000 0.5000 0.0000 C

No. 20
SrTl2Fe, optimized geometry, DFT PBE; density of states at the Fermi level = 1.3685 states/eV per atom; ΔH_f (0 K) = 346 meV/atom
1.0
-2.3566 2.3566 4.8523
2.3566 -2.3566 4.8523
2.3566 2.3566 -4.8523
Sr Tl Fe
1 2 1
direct
0.0000 0.0000 0.0000 Sr
0.2500 0.7500 0.5000 Tl
0.5000 0.5000 0.0000 Tl
0.7500 0.2500 0.5000 Fe

No. 21
Na2Er2HfS6, optimized geometry, DFT PBE; density of states at the Fermi level = 0.0000 states/eV per atom; uncorrected formation energy = -171.2 kJ per mole of atoms
1.0
3.3578 -5.7553 0.0000
3.3578 5.7553 0.0000
-2.2356 0.0000 6.7682
Na Er Hf S
2 2 1 6
direct
0.1692 0.8308 0.0000 Na
0.8308 0.1692 0.0000 Na
0.3338 0.6662 0.5000 Er
0.6662 0.3338 0.5000 Er
0.0000 0.0000 0.5000 Hf
0.0711 0.3903 0.7170 S
0.2416 0.2416 0.2842 S
0.3903 0.0711 0.7170 S
0.6097 0.9289 0.2830 S
0.7584 0.7584 0.7158 S
0.9289 0.6097 0.2830 S